1.
Below is Ti2BeGa after structural relaxation, with properties calculated at the GGA-PBE level. Values from VASP.

```
&SYSTEM
  ibrav = 0, nat = 16, ntyp = 3
/
ATOMIC_SPECIES
Ti 47.87 Ti.upf
Be 9.01 Be.upf
Ga 69.72 Ga.upf
ATOMIC_POSITIONS crystal
Ti 0.2500 0.2500 0.2500
Ti 0.2500 0.2500 0.7500
Ti 0.2500 0.7500 0.2500
Ti 0.2500 0.7500 0.7500
Ti 0.7500 0.2500 0.2500
Ti 0.7500 0.2500 0.7500
Ti 0.7500 0.7500 0.2500
Ti 0.7500 0.7500 0.7500
Be 0.0000 0.0000 0.0000
Be 0.0000 0.5000 0.5000
Be 0.5000 0.0000 0.5000
Be 0.5000 0.5000 0.0000
Ga 0.0000 0.0000 0.5000
Ga 0.0000 0.5000 0.0000
Ga 0.5000 0.0000 0.0000
Ga 0.5000 0.5000 0.5000
CELL_PARAMETERS angstrom
6.1241 0.0000 0.0000
0.0000 6.1241 0.0000
0.0000 0.0000 6.1241
```

Properties
Its energy above the most stable polymorph in this dataset is 0.0563 eV/atom. The value obtained for the formation energy is -21 kJ/mol of atoms. As for the space group: Fm-3m. Its total energy is -5.85 eV/atom.


2.
Below is Ti2BeGa after structural relaxation, with properties calculated at the GGA-PBE level. Values from VASP.

```
&SYSTEM
  ibrav = 0, nat = 16, ntyp = 3
/
ATOMIC_SPECIES
Ti 47.87 Ti.upf
Be 9.01 Be.upf
Ga 69.72 Ga.upf
ATOMIC_POSITIONS crystal
Ti 0.2359 0.7500 0.1250
Ti 0.2500 0.2359 0.8750
Ti 0.2500 0.2641 0.3750
Ti 0.2641 0.7500 0.6250
Ti 0.7359 0.2500 0.6250
Ti 0.7500 0.7359 0.3750
Ti 0.7500 0.7641 0.8750
Ti 0.7641 0.2500 0.1250
Be 0.0000 0.0000 0.0000
Be 0.0000 0.5000 0.2500
Be 0.5000 0.0000 0.7500
Be 0.5000 0.5000 0.5000
Ga 0.0000 0.0000 0.5000
Ga 0.0000 0.5000 0.7500
Ga 0.5000 0.0000 0.2500
Ga 0.5000 0.5000 0.0000
CELL_PARAMETERS angstrom
6.9413 0.0000 0.0000
0.0000 6.9413 0.0000
0.0000 0.0000 5.0063
```

Properties
Its energy above the most stable polymorph in this dataset is 0.4037 eV/atom. The value obtained for the formation energy is 12 kJ/mol of atoms. As for the space group: I-42d. Its total energy is -5.51 eV/atom.